# SnBiPd2 (PBE-GGA, relaxed)
data_SnBiPd2
_cell_length_a 4.275
_cell_length_b 5.692
_cell_length_c 7.208
_cell_angle_alpha 90.00
_cell_angle_beta 90.00
_cell_angle_gamma 90.00
_space_group_name_H-M_alt 'P m m n'
_space_group_IT_number 59
loop_
_space_group_symop_operation_xyz
'x,y,z'
'-x,-y,-z'
'-x+1/2,-y+1/2,z'
'x+1/2,y+1/2,-z'
'x+1/2,-y,-z'
'-x+1/2,y,z'
'-x,y+1/2,-z'
'x,-y+1/2,z'
loop_
_atom_site_label
_atom_site_fract_x
_atom_site_fract_y
_atom_site_fract_z
_atom_site_occupancy
Sn1 0.250 0.250 0.090 1
Bi1 0.250 0.750 0.413 1
Pd1 0.250 0.502 0.767 1
# Calculated total energy = -4.9776 eV per atom
# Energy of formation from the pure elements = -410 meV/atom

# SnBi4Pd15 (PBE-GGA, relaxed)
data_SnBi4Pd15
_cell_length_a 4.138
_cell_length_b 4.138
_cell_length_c 20.441
_cell_angle_alpha 90.00
_cell_angle_beta 90.00
_cell_angle_gamma 90.00
_space_group_name_H-M_alt 'P 4/m m m'
_space_group_IT_number 123
_space_group_name_Hall '-P 4 2'
loop_
_atom_site_label
_atom_site_fract_x
_atom_site_fract_y
_atom_site_fract_z
_atom_site_occupancy
Sn1 0.000 0.000 0.000 1
Bi1 0.000 0.000 0.196 1
Bi2 0.000 0.000 0.399 1
Pd1 0.000 0.500 0.095 1
Pd2 0.000 0.500 0.298 1
Pd3 0.000 0.500 0.500 1
Pd4 0.500 0.500 0.000 1
Pd5 0.500 0.500 0.197 1
Pd6 0.500 0.500 0.399 1
# Calculated total energy = -5.1559 eV per atom
# Energy of formation from the pure elements = -285 meV/atom

# Sn3BiPd (PBE-GGA, relaxed)
data_Sn3BiPd
_cell_length_a 5.249
_cell_length_b 5.249
_cell_length_c 5.249
_cell_angle_alpha 90.00
_cell_angle_beta 90.00
_cell_angle_gamma 90.00
_space_group_name_H-M_alt 'P m -3 m'
_space_group_IT_number 221
_space_group_name_Hall '-P 4 2 3'
loop_
_atom_site_label
_atom_site_fract_x
_atom_site_fract_y
_atom_site_fract_z
_atom_site_occupancy
Sn1 0.000 0.000 0.500 1
Bi1 0.500 0.500 0.500 1
Pd1 0.000 0.000 0.000 1
# Calculated total energy = -4.2053 eV per atom
# Energy of formation from the pure elements = 11 meV/atom
# Energy relative to the lowest polymorph listed for this composition = 0.0 kJ/mol of atoms

# SnBi3Pd2 (PBE-GGA, relaxed)
data_SnBi3Pd2
_cell_length_a 6.956
_cell_length_b 13.488
_cell_length_c 6.859
_cell_angle_alpha 90.00
_cell_angle_beta 90.00
_cell_angle_gamma 90.00
_space_group_name_H-M_alt 'I b a m'
_space_group_IT_number 72
_space_group_name_Hall '-I 2 2c'
loop_
_atom_site_label
_atom_site_fract_x
_atom_site_fract_y
_atom_site_fract_z
_atom_site_occupancy
Sn1 0.000 0.000 0.000 1
Bi1 0.000 0.236 0.250 1
Bi2 0.000 0.500 0.250 1
Pd1 0.220 0.368 0.000 1
# Calculated total energy = -4.5492 eV per atom
# Energy of formation from the pure elements = -211 meV/atom